# 1
## Ac3PrNd3Te8 (GGA-PBE)

Data for a geometry-optimized Ac3PrNd3Te8 structure.

Unit cell a=9.1247 b=9.1249 c=9.2579 alpha=119.53 beta=90.00 gamma=120.00
Last column: nearest neighbours and their distance in Å.
Fractional coordinates of all 15 atoms:
Ac 0.0000 0.0000 0.0000  6 Te 3.31
Ac 0.5000 0.5000 0.0000  6 Te 3.31
Ac 0.0000 0.5000 0.0000  6 Te 3.31
Te 0.7452 0.4905 0.7357  3 Nd 3.19, 3 Ac 3.31
Te 0.2616 0.0095 0.2573  2 Nd 3.19, 1 Pr 3.28, 2 Ac 3.31
Te 0.7478 0.4956 0.2573  2 Nd 3.19, 1 Pr 3.28, 2 Ac 3.31
Te 0.2548 0.5095 0.2643  3 Nd 3.19, 3 Ac 3.31
Te 0.7384 0.9905 0.7427  2 Nd 3.19, 1 Pr 3.28, 2 Ac 3.31
Te 0.2522 0.5044 0.7427  2 Nd 3.19, 1 Pr 3.28, 2 Ac 3.31
Te 0.7478 0.0095 0.2573  2 Nd 3.19, 1 Pr 3.28, 2 Ac 3.31
Te 0.2522 0.9905 0.7427  2 Nd 3.19, 1 Pr 3.28, 2 Ac 3.31
Nd 0.5000 0.0000 0.5000  6 Te 3.19
Nd 0.5000 0.5000 0.5000  6 Te 3.19
Nd 0.0000 0.5000 0.5000  6 Te 3.19
Pr 0.0000 0.0000 0.5000  6 Te 3.28

Values from the calculation:
V: 36.6 A^3/atom
uncorrected formation energy: -1.488 eV per atom
E: -5.26 eV/atom

# 2
## InCu2Os (GGA-PBE)

Data for a geometry-optimized InCu2Os structure.

Unit cell a=4.7357 b=4.7357 c=2.7839 alpha=90.00 beta=90.00 gamma=108.64
Last column: nearest neighbours and their distance in Å.
Fractional coordinates of all 4 atoms:
Os 0.0000 0.5000 0.5000  8 Cu 2.75, 2 In 2.76, 2 Os 2.78
Cu 0.0000 0.0000 0.0000  4 In 2.75, 4 Os 2.75, 4 Cu 2.76-2.78
Cu 0.5000 0.5000 0.0000  4 Os 2.75, 4 In 2.75, 4 Cu 2.76-2.78
In 0.5000 0.0000 0.5000  8 Cu 2.75, 2 Os 2.76, 2 In 2.78

Values from the calculation:
DFT formation energy: 0.37 eV per atom
V: 14.8 A^3/atom
E: -5.17 eV/atom

# 3
## RuRhCl4 (GGA-PBE)

Data for a geometry-optimized RuRhCl4 structure.

Unit cell a=5.6372 b=5.6372 c=5.6372 alpha=60.00 beta=60.00 gamma=60.00
Last column: nearest neighbours and their distance in Å.
Fractional coordinates of all 6 atoms:
Cl 0.8752 0.3749 0.3749  6 Cl 2.82
Cl 0.3749 0.3749 0.3749  6 Cl 2.82
Cl 0.3749 0.8752 0.3749  6 Cl 2.82
Cl 0.3749 0.3749 0.8752  6 Cl 2.82
Rh 0.7500 0.7500 0.7500  12 Cl 3.31, 4 Ru 3.45
Ru 0.0000 0.0000 0.0000  12 Cl 3.30, 4 Rh 3.45

Values from the calculation:
V: 21.1 A^3/atom
uncorrected formation energy: 1.435 eV per atom
E: -2.57 eV/atom

# 4
## Sc3Cd2In2 (GGA-PBE)

Data for a geometry-optimized Sc3Cd2In2 structure.

Unit cell a=4.8606 b=4.8525 c=8.2970 alpha=73.14 beta=107.03 gamma=120.05
Last column: nearest neighbours and their distance in Å.
Fractional coordinates of all 7 atoms:
Sc 0.5699 0.4300 0.7098  3 Cd 3.05, 4 In 3.06-3.31, 1 Sc 3.28
Sc 0.4301 0.5700 0.2902  3 Cd 3.05, 4 In 3.06-3.31, 1 Sc 3.28
Sc 0.0000 0.0000 0.0000  6 In 2.99
In 0.2885 0.7109 0.8662  7 Sc 2.99-3.31, 1 Cd 3.29
In 0.7115 0.2891 0.1338  7 Sc 2.99-3.31, 1 Cd 3.29
Cd 0.8516 0.1482 0.5551  3 Cd 2.93, 3 Sc 3.05
Cd 0.1484 0.8518 0.4449  3 Cd 2.93, 3 Sc 3.05

Values from the calculation:
DFT formation energy: -0.29 eV per atom
V: 22.8 A^3/atom
E: -4.04 eV/atom

# 5
## NaLiIn6 (GGA-PBE)

Data for a geometry-optimized NaLiIn6 structure.

Unit cell a=4.5257 b=9.4512 c=6.6900 alpha=134.94 beta=90.00 gamma=90.00
Last column: nearest neighbours and their distance in Å.
Fractional coordinates of all 8 atoms:
In 0.5000 0.1275 0.2550  2 Na 3.29, 10 In 3.31-3.36
In 0.0000 0.3858 0.2534  2 Li 3.21, 8 In 3.25-3.44, 2 Na 3.28-3.41
In 0.0000 0.3819 0.7637  2 Li 3.14, 10 In 3.25-3.44
In 0.5000 0.6256 0.7502  2 Li 3.26-3.44, 8 In 3.27-3.36, 2 Na 3.27
In 0.5000 0.1246 0.7502  2 Li 3.26-3.44, 8 In 3.27-3.36, 2 Na 3.27
In 0.0000 0.8675 0.2534  2 Li 3.21, 8 In 3.25-3.44, 2 Na 3.28-3.41
Na 0.0000 0.8758 0.7517  10 In 3.27-3.41, 2 Li 3.38
Li 0.5000 0.6112 0.2225  10 In 3.14-3.44, 2 Na 3.38

Values from the calculation:
DFT formation energy: -0.09 eV per atom
V: 25.3 A^3/atom
polymorph energy (0 for the lowest one): 0.017 eV per atom
E: -2.54 eV/atom

# 6
## Sc2Nb2Ir (GGA-PBE)

Data for a geometry-optimized Sc2Nb2Ir structure.

Unit cell a=6.6253 b=6.6253 c=4.6907 alpha=90.00 beta=90.00 gamma=90.00
Last column: nearest neighbours and their distance in Å.
Fractional coordinates of all 10 atoms:
Nb 0.6441 0.1441 0.0000  2 Ir 2.54, 1 Nb 2.70
Nb 0.3559 0.8559 0.0000  2 Ir 2.54, 1 Nb 2.70
Nb 0.8559 0.6441 0.0000  2 Ir 2.54, 1 Nb 2.70
Nb 0.1441 0.3559 0.0000  2 Ir 2.54, 1 Nb 2.70
Ir 0.0000 0.0000 0.0000  4 Nb 2.54
Ir 0.5000 0.5000 0.0000  4 Nb 2.54
Sc 0.8355 0.3355 0.5000  6 Nb 2.95-3.11, 1 Sc 3.08
Sc 0.1645 0.6645 0.5000  6 Nb 2.95-3.11, 1 Sc 3.08
Sc 0.6645 0.8355 0.5000  6 Nb 2.95-3.11, 1 Sc 3.08
Sc 0.3355 0.1645 0.5000  6 Nb 2.95-3.11, 1 Sc 3.08

Values from the calculation:
DFT formation energy: -0.07 eV per atom
V: 20.6 A^3/atom
polymorph energy (0 for the lowest one): 0.000 eV per atom
E: -8.40 eV/atom